TaInCoAu: optimized geometry, PBE.

Properties
**V**: 16.5 Å³ per atom
**Magnetization**: 0.13 Bohr magnetons per cell
**VASP energy**: -5.96 eV/atom
**Offset from the most stable computed form**: 143 meV/atom

The structure in POSCAR format:
```
TaInCoAu
1.0
-3.3695 -2.3544 -1.9232
-4.2236 0.3443 1.6241
-3.1879 2.1544 -2.4065
Ta Co Au In
1 1 1 1
direct
0.2500 0.2500 0.2500 Ta
0.5000 0.5000 0.5000 Co
0.7500 0.7500 0.7500 Au
0.0000 0.0000 0.0000 In
```